VASP calculation (GGA-PBE) on an optimized crystal structure of Pr6NdSm2Th.

Cell: 9.348 15.224 10.143 Å, 90.00 100.30 90.00°
Space group C2/c (No. 15)
Unique sites:
1 Pr 0.072 0.180 0.444 (multiplicity 8)
2 Pr 0.098 0.398 0.621 (multiplicity 8)
3 Pr 0.203 0.219 0.814 (multiplicity 8)
4 Nd 0.000 0.404 0.250 (multiplicity 4)
5 Sm 0.235 0.045 0.046 (multiplicity 8)
6 Th 0.000 0.020 0.750 (multiplicity 4)

DFT formation energy ... 0.139 eV per atom
Total magnetization ... 0.000 μB/atom

=====

VASP calculation (GGA-PBE) on an optimized crystal structure of PrNd5Sm2Th.

Cell: 5.785 20.641 10.639 Å, 90.00 90.00 90.00°
Space group Cmc2_1 (No. 36)
Unique sites:
1 Pr 0.000 0.090 0.000 (multiplicity 4)
2 Nd 0.000 0.021 0.708 (multiplicity 4)
3 Nd 0.000 0.112 0.423 (multiplicity 4)
4 Nd 0.000 0.206 0.744 (multiplicity 4)
5 Nd 0.000 0.224 0.133 (multiplicity 4)
6 Nd 0.000 0.484 0.427 (multiplicity 4)
7 Sm 0.000 0.384 0.129 (multiplicity 4)
8 Sm 0.000 0.385 0.718 (multiplicity 4)
9 Th 0.000 0.301 0.436 (multiplicity 4)

DFT formation energy ... 0.155 eV per atom
Total magnetization ... 0.000 μB/atom

=====

VASP calculation (GGA-PBE) on an optimized crystal structure of Pr2NdSm5Th.

Cell: 5.761 20.494 10.635 Å, 90.00 90.00 90.00°
Space group Cmc2_1 (No. 36)
Unique sites:
1 Pr 0.000 0.116 0.000 (multiplicity 4)
2 Pr 0.000 0.117 0.409 (multiplicity 4)
3 Nd 0.000 0.411 0.130 (multiplicity 4)
4 Sm 0.000 0.016 0.702 (multiplicity 4)
5 Sm 0.000 0.276 0.996 (multiplicity 4)
6 Sm 0.000 0.296 0.385 (multiplicity 4)
7 Sm 0.000 0.389 0.704 (multiplicity 4)
8 Sm 0.000 0.479 0.419 (multiplicity 4)
9 Th 0.000 0.200 0.693 (multiplicity 4)

DFT formation energy ... 0.153 eV per atom
Total magnetization ... 0.000 μB/atom

=====

VASP calculation (GGA-PBE) on an optimized crystal structure of Pr5NdSm2Th.

Cell: 5.801 20.785 10.675 Å, 90.00 90.00 90.00°
Space group Cmc2_1 (No. 36)
Unique sites:
1 Pr 0.000 0.015 0.000 (multiplicity 4)
2 Pr 0.000 0.276 0.705 (multiplicity 4)
3 Pr 0.000 0.294 0.316 (multiplicity 4)
4 Pr 0.000 0.386 0.995 (multiplicity 4)
5 Pr 0.000 0.480 0.278 (multiplicity 4)
6 Nd 0.000 0.408 0.569 (multiplicity 4)
7 Sm 0.000 0.115 0.288 (multiplicity 4)
8 Sm 0.000 0.116 0.703 (multiplicity 4)
9 Th 0.000 0.198 0.008 (multiplicity 4)

DFT formation energy ... 0.153 eV per atom
Total magnetization ... 0.000 μB/atom

=====

VASP calculation (GGA-PBE) on an optimized crystal structure of Pr6NdSmTh2.

Cell: 9.111 15.081 10.673 Å, 90.00 104.46 90.00°
Space group C2/c (No. 15)
Unique sites:
1 Pr 0.077 0.184 0.453 (multiplicity 8)
2 Pr 0.090 0.401 0.617 (multiplicity 8)
3 Pr 0.208 0.223 0.830 (multiplicity 8)
4 Nd 0.000 0.008 0.750 (multiplicity 4)
5 Sm 0.000 0.402 0.250 (multiplicity 4)
6 Th 0.220 0.041 0.043 (multiplicity 8)

DFT formation energy ... 0.152 eV per atom
Total magnetization ... 0.000 μB/atom

=====

VASP calculation (GGA-PBE) on an optimized crystal structure of Pr4NdSm2Th.

Cell: 6.347 3.669 12.220 Å, 90.00 100.00 90.00°
Space group P2/m (No. 10)
Unique sites:
1 Pr 0.243 0.000 0.245 (multiplicity 2)
2 Pr 0.248 0.500 0.753 (multiplicity 2)
3 Nd 0.000 0.000 0.500 (multiplicity 1)
4 Sm 0.500 0.000 0.000 (multiplicity 1)
5 Sm 0.500 0.500 0.500 (multiplicity 1)
6 Th 0.000 0.500 0.000 (multiplicity 1)

DFT formation energy ... 0.035 eV per atom
Total magnetization ... 0.000 μB/atom

=====

VASP calculation (GGA-PBE) on an optimized crystal structure of Pr2Nd4SmTh.

Cell: 6.359 3.668 12.176 Å, 90.00 100.09 90.00°
Space group P2/m (No. 10)
Unique sites:
1 Pr 0.000 0.000 0.000 (multiplicity 1)
2 Pr 0.000 0.500 0.500 (multiplicity 1)
3 Nd 0.253 0.000 0.749 (multiplicity 2)
4 Nd 0.258 0.500 0.255 (multiplicity 2)
5 Sm 0.500 0.500 0.000 (multiplicity 1)
6 Th 0.500 0.000 0.500 (multiplicity 1)

DFT formation energy ... 0.033 eV per atom
Total magnetization ... 0.000 μB/atom

=====

VASP calculation (GGA-PBE) on an optimized crystal structure of Pr6Nd2SmTh.

Cell: 9.348 15.252 10.164 Å, 90.00 100.36 90.00°
Space group C2/c (No. 15)
Unique sites:
1 Pr 0.072 0.181 0.444 (multiplicity 8)
2 Pr 0.097 0.398 0.620 (multiplicity 8)
3 Pr 0.203 0.218 0.812 (multiplicity 8)
4 Nd 0.236 0.045 0.046 (multiplicity 8)
5 Sm 0.000 0.405 0.250 (multiplicity 4)
6 Th 0.000 0.018 0.750 (multiplicity 4)

DFT formation energy ... 0.139 eV per atom
Total magnetization ... 0.000 μB/atom

=====

VASP calculation (GGA-PBE) on an optimized crystal structure of PrNd2SmTh.

Cell: 6.478 8.496 6.680 Å, 90.00 103.67 90.00°
Space group P2/c (No. 13)
Unique sites:
1 Pr 0.000 0.093 0.250 (multiplicity 2)
2 Nd 0.217 0.328 0.662 (multiplicity 4)
3 Sm 0.500 0.339 0.250 (multiplicity 2)
4 Th 0.500 0.000 0.000 (multiplicity 2)

DFT formation energy ... 0.240 eV per atom
Total magnetization ... 0.000 μB/atom

=====

VASP calculation (GGA-PBE) on an optimized crystal structure of PrNdSm2Th.

Cell: 8.662 6.579 6.465 Å, 90.00 100.36 90.00°
Space group P2/c (No. 13)
Unique sites:
1 Pr 0.000 0.000 0.000 (multiplicity 2)
2 Nd 0.500 0.165 0.250 (multiplicity 2)
3 Sm 0.314 0.323 0.688 (multiplicity 4)
4 Th 0.000 0.451 0.250 (multiplicity 2)

DFT formation energy ... 0.295 eV per atom
Total magnetization ... 0.000 μB/atom

=====

VASP calculation (GGA-PBE) on an optimized crystal structure of PrNdSmTh2.

Cell: 6.734 16.061 6.733 Å, 90.00 90.00 90.00°
Space group Cmcm (No. 63)
Unique sites:
1 Pr 0.000 0.151 0.250 (multiplicity 4)
2 Nd 0.000 0.347 0.250 (multiplicity 4)
3 Sm 0.000 0.281 0.750 (multiplicity 4)
4 Th 0.246 0.500 0.000 (multiplicity 8)

DFT formation energy ... 0.386 eV per atom
Total magnetization ... 0.000 μB/atom

=====

VASP calculation (GGA-PBE) on an optimized crystal structure of PrNd2Sm4Th.

Cell: 6.315 3.652 12.072 Å, 90.00 100.20 90.00°
Space group P2/m (No. 10)
Unique sites:
1 Pr 0.000 0.000 0.000 (multiplicity 1)
2 Nd 0.500 0.000 0.500 (multiplicity 1)
3 Nd 0.500 0.500 0.000 (multiplicity 1)
4 Sm 0.242 0.000 0.744 (multiplicity 2)
5 Sm 0.247 0.500 0.253 (multiplicity 2)
6 Th 0.000 0.500 0.500 (multiplicity 1)

DFT formation energy ... 0.028 eV per atom
Total magnetization ... 0.000 μB/atom

=====

VASP calculation (GGA-PBE) on an optimized crystal structure of Pr4Nd2SmTh.

Cell: 6.370 3.674 12.220 Å, 90.00 100.03 90.00°
Space group P2/m (No. 10)
Unique sites:
1 Pr 0.243 0.000 0.245 (multiplicity 2)
2 Pr 0.247 0.500 0.751 (multiplicity 2)
3 Nd 0.500 0.000 0.000 (multiplicity 1)
4 Nd 0.500 0.500 0.500 (multiplicity 1)
5 Sm 0.000 0.000 0.500 (multiplicity 1)
6 Th 0.000 0.500 0.000 (multiplicity 1)

DFT formation energy ... 0.035 eV per atom
Total magnetization ... 0.000 μB/atom

=====

VASP calculation (GGA-PBE) on an optimized crystal structure of PrNd2SmTl.

Cell: 3.910 5.390 8.262 Å, 90.00 90.00 90.00°
Space group Pmmm (No. 47)
Unique sites:
1 Pr 0.000 0.000 0.000 (multiplicity 1)
2 Nd 0.000 0.500 0.310 (multiplicity 2)
3 Sm 0.500 0.000 0.500 (multiplicity 1)
4 Tl 0.500 0.500 0.000 (multiplicity 1)

DFT formation energy ... -0.035 eV per atom
Total magnetization ... 0.000 μB/atom

=====

VASP calculation (GGA-PBE) on an optimized crystal structure of Pr2Nd3Sm6Tl.

Cell: 6.250 10.841 12.009 Å, 90.00 100.12 90.00°
Space group C2/m (No. 12)
Unique sites:
1 Pr 0.000 0.167 0.000 (multiplicity 4)
2 Nd 0.000 0.000 0.500 (multiplicity 2)
3 Nd 0.000 0.332 0.500 (multiplicity 4)
4 Sm 0.243 0.500 0.751 (multiplicity 4)
5 Sm 0.245 0.337 0.247 (multiplicity 8)
6 Tl 0.000 0.500 0.000 (multiplicity 2)

DFT formation energy ... -0.030 eV per atom
Total magnetization ... 0.000 μB/atom

=====

VASP calculation (GGA-PBE) on an optimized crystal structure of Pr3Nd6Sm2Tl.

Cell: 6.297 10.951 12.045 Å, 90.00 100.31 90.00°
Space group C2/m (No. 12)
Unique sites:
1 Pr 0.000 0.000 0.000 (multiplicity 2)
2 Pr 0.000 0.331 0.000 (multiplicity 4)
3 Nd 0.244 0.337 0.744 (multiplicity 8)
4 Nd 0.244 0.500 0.253 (multiplicity 4)
5 Sm 0.000 0.166 0.500 (multiplicity 4)
6 Tl 0.000 0.500 0.500 (multiplicity 2)

DFT formation energy ... -0.020 eV per atom
Total magnetization ... 0.000 μB/atom

=====

VASP calculation (GGA-PBE) on an optimized crystal structure of Pr2NdSmTl2.

Cell: 5.293 10.361 6.947 Å, 90.00 90.00 90.00°
Space group Pmc2_1 (No. 26)
Unique sites:
1 Pr 0.000 0.044 0.000 (multiplicity 2)
2 Pr 0.500 0.183 0.269 (multiplicity 2)
3 Nd 0.500 0.457 0.904 (multiplicity 2)
4 Sm 0.000 0.316 0.631 (multiplicity 2)
5 Tl 0.000 0.368 0.162 (multiplicity 2)
6 Tl 0.500 0.141 0.741 (multiplicity 2)

DFT formation energy ... -0.273 eV per atom
Total magnetization ... 0.000 μB/atom

=====

VASP calculation (GGA-PBE) on an optimized crystal structure of PrNd2SmTl4.

Cell: 5.5155 5.5155 27.0495 Å, 90.00 90.00 120.00°
Space group R-3m (No. 166, hexagonal axes)
Unique sites:
1 Pr 0.0000 0.0000 0.0000 (multiplicity 3)
2 Nd 0.0000 0.0000 0.2498 (multiplicity 6)
3 Sm 0.0000 0.0000 0.5000 (multiplicity 3)
4 Tl 0.0000 0.0000 0.1258 (multiplicity 6)
5 Tl 0.0000 0.0000 0.3758 (multiplicity 6)

DFT formation energy ... -0.386 eV per atom
Total magnetization ... 0.000 μB/atom

=====

VASP calculation (GGA-PBE) on an optimized crystal structure of Pr4Nd2SmTl2.

Cell: 6.586 6.852 8.421 Å, 66.40 78.92 62.10°
Space group P-1 (No. 2)
Unique sites:
1 Pr 0.090 0.473 0.280 (multiplicity 2)
2 Pr 0.192 0.023 0.127 (multiplicity 2)
3 Nd 0.328 0.976 0.683 (multiplicity 2)
4 Sm 0.500 0.500 0.500 (multiplicity 1)
5 Tl 0.357 0.449 0.906 (multiplicity 2)

DFT formation energy ... -0.087 eV per atom
Total magnetization ... 0.000 μB/atom

=====

VASP calculation (GGA-PBE) on an optimized crystal structure of PrNd2SmTl2.

Cell: 5.286 10.337 6.936 Å, 90.00 90.00 90.00°
Space group Pmc2_1 (No. 26)
Unique sites:
1 Pr 0.000 0.043 0.000 (multiplicity 2)
2 Nd 0.000 0.318 0.367 (multiplicity 2)
3 Nd 0.500 0.456 0.095 (multiplicity 2)
4 Sm 0.500 0.186 0.727 (multiplicity 2)
5 Tl 0.000 0.362 0.838 (multiplicity 2)
6 Tl 0.500 0.135 0.260 (multiplicity 2)

DFT formation energy ... -0.272 eV per atom
Total magnetization ... 0.000 μB/atom

=====

Number 1: uncorrected energy -48.91 eV per formula unit. Number 2: uncorrected energy -44.08 eV per formula unit. Number 3: uncorrected energy -43.96 eV per formula unit. Number 4: uncorrected energy -44.15 eV per formula unit. Number 5: uncorrected energy -51.48 eV per formula unit. Number 6: uncorrected energy -40.46 eV per formula unit. Number 7: uncorrected energy -40.51 eV per formula unit. Number 8: uncorrected energy -48.96 eV per formula unit. Number 9: uncorrected energy -25.25 eV per formula unit. Number 10: uncorrected energy -24.93 eV per formula unit. Number 11: uncorrected energy -27.18 eV per formula unit. Number 12: uncorrected energy -40.38 eV per formula unit. Number 13: uncorrected energy -40.51 eV per formula unit. Number 14: uncorrected energy -21.57 eV per formula unit. Number 15: uncorrected energy -54.90 eV per formula unit. Number 16: uncorrected energy -54.99 eV per formula unit. Number 17: uncorrected energy -25.41 eV per formula unit. Number 18: uncorrected energy -31.59 eV per formula unit. Number 19: uncorrected energy -38.89 eV per formula unit. Number 20: uncorrected energy -25.40 eV per formula unit.